# 1
Here is Ba2BiSb2 at its PBEsol-relaxed geometry from the Alexandria database. Energies are from meta-GGA SCAN.

Geometry as POSCAR:
```
Ba2BiSb2
1.0
8.3911 0.0000 0.0000
0.0000 8.3911 0.0000
0.0000 0.0000 5.0372
Ba Bi Sb
4 2 4
Direct
0.1764 0.3236 0.0000 Ba
0.3236 0.8236 0.0000 Ba
0.6764 0.1764 0.0000 Ba
0.8236 0.6764 0.0000 Ba
0.0000 0.0000 0.5000 Bi
0.5000 0.5000 0.5000 Bi
0.1251 0.6251 0.5000 Sb
0.3749 0.1251 0.5000 Sb
0.6251 0.8749 0.5000 Sb
0.8749 0.3749 0.5000 Sb
```

volume	35.5	A^3/atom
symmetry	No. 127
raw formation energy	-4.4	eV per formula unit
DFT total energy	-47.32	eV/atom
M_tot	0.0	μB/cell


# 2
Here is NaH2F at its PBEsol-relaxed geometry from the Alexandria database. Energies are from meta-GGA SCAN.

Geometry as POSCAR:
```
NaH2F
1.0
-1.4610 1.4610 11.0954
1.4610 -1.4610 11.0954
1.4610 1.4610 -11.0954
Na H F
2 4 2
Direct
0.3750 0.6250 0.7500 Na
0.6250 0.3750 0.2500 Na
0.0000 0.0000 0.0000 H
0.0000 0.0000 0.5000 H
0.0000 0.5000 0.0000 H
0.5000 0.0000 0.5000 H
0.1250 0.8750 0.2500 F
0.8750 0.1250 0.7500 F
```

volume	11.8	A^3/atom
symmetry	No. 141
DFT total energy	-4.41	eV/atom
M_tot	0.0	μB/cell


# 3
Here is InCu2Te at its PBEsol-relaxed geometry from the Alexandria database. Energies are from meta-GGA SCAN.

Geometry as POSCAR:
```
InCu2Te
1.0
0.0000 3.3813 3.3813
3.3813 0.0000 3.3813
3.3813 3.3813 0.0000
In Cu Te
1 2 1
Direct
0.0000 0.0000 0.0000 In
0.5000 0.5000 0.5000 Cu
0.7500 0.7500 0.7500 Cu
0.2500 0.2500 0.2500 Te
```

volume	19.3	A^3/atom
symmetry	No. 216
raw formation energy	2.1	eV per formula unit
DFT total energy	-24.73	eV/atom
polymorph energy (0 for the lowest one)	460.0	meV/atom
M_tot	0.0	μB/cell


# 4
Here is KMnCl at its PBEsol-relaxed geometry from the Alexandria database. Energies are from meta-GGA SCAN.

Geometry as POSCAR:
```
KMnCl
1.0
0.0000 3.7306 3.7306
3.7306 0.0000 3.7306
3.7306 3.7306 0.0000
K Mn Cl
1 1 1
Direct
0.0000 0.0000 0.0000 K
0.7500 0.7500 0.7500 Mn
0.5000 0.5000 0.5000 Cl
```

volume	34.6	A^3/atom
symmetry	No. 216
raw formation energy	-0.2	eV per formula unit
DFT total energy	-11.58	eV/atom
polymorph energy (0 for the lowest one)	130.8	meV/atom
M_tot	5.0	μB/cell